Record 1
The following is a DFT calculation (meta-GGA SCAN) of a PBEsol-optimized structure of KSb4Ir.

a b c (Å): 6.066 6.066 6.066
angles (deg): 60.00 60.00 60.00
Fractional positions:
Sb: 0.375 0.375 0.375
Sb: 0.375 0.375 0.874
Sb: 0.375 0.874 0.375
Sb: 0.874 0.375 0.375
Ir: 0.750 0.750 0.750
K: 0.000 0.000 0.000

Summary:
Total energy (eV for the cell shown): -224.190

Record 2
The following is a DFT calculation (meta-GGA SCAN) of a PBEsol-optimized structure of Te3C2.

a b c (Å): 6.054 6.054 6.905
angles (deg): 102.99 102.99 119.16
Fractional positions:
Te: 0.922 0.750 0.443
Te: 0.336 0.336 0.000
Te: 0.307 0.478 0.557
Te: 0.000 0.672 0.943
Te: 0.586 0.086 0.500
Te: 0.728 0.057 0.057
C: 0.648 0.310 0.272
C: 0.626 0.787 0.228
C: 0.037 0.376 0.728
C: 0.560 0.398 0.772

Summary:
Total energy (eV for the cell shown): -250.886

Record 3
The following is a DFT calculation (meta-GGA SCAN) of a PBEsol-optimized structure of LaYAg2.

a b c (Å): 3.797 4.815 5.894
angles (deg): 90.00 109.47 90.00
Fractional positions:
Ag: 0.952 0.500 0.275
Ag: 0.794 0.000 0.968
Y: 0.232 0.500 0.845
La: 0.522 0.000 0.413

Summary:
Formation enthalpy at 0 K (meV/atom): -336

The evaluated size of the total moment for the records listed, in turn: 0.00; 0.00; 0.00 μB per formula unit.